1.
VASP calculation (SCAN) on ReSe2 at its PBEsol-relaxed geometry.

Results
total magnetic moment	0.000	μB per atom

abc: 5.394 6.132 3.332
angles: 90.00 90.00 90.00
Space group Pnnm (No. 58)
One atom of each set of equivalent atoms:
Re: 0.000 0.000 0.000 (multiplicity 2)
Se: 0.195 0.362 0.000 (multiplicity 4)

2.
VASP calculation (SCAN) on ReSe2 at its PBEsol-relaxed geometry.

Results
total magnetic moment	0.000	μB per atom

abc: 6.581 6.698 6.842
angles: 71.36 76.62 61.27
Space group P-1 (No. 2)
One atom of each set of equivalent atoms:
Re: 0.012 0.290 0.003 (multiplicity 2)
Re: 0.431 0.316 0.009 (multiplicity 2)
Se: 0.113 0.362 0.292 (multiplicity 2)
Se: 0.165 0.850 0.192 (multiplicity 2)
Se: 0.341 0.680 0.741 (multiplicity 2)
Se: 0.380 0.123 0.780 (multiplicity 2)

3.
VASP calculation (SCAN) on ReSe at its PBEsol-relaxed geometry.

Results
total magnetic moment	0.000	μB per atom
distance to the lowest polymorph of the same formula	23.02	kJ per mole of atoms

abc: 3.9555 3.9555 5.0662
angles: 90.00 90.00 120.00
Space group P6_3/mmc (No. 194)
One atom of each set of equivalent atoms:
Re: 0.0000 0.0000 0.0000 (multiplicity 2)
Se: 0.3333 0.6667 0.2500 (multiplicity 2)

4.
VASP calculation (SCAN) on Re2SiSe at its PBEsol-relaxed geometry.

Results
total magnetic moment	0.000	μB per atom
distance to the lowest polymorph of the same formula	33.83	kJ per mole of atoms

abc: 2.967 4.792 8.374
angles: 90.00 90.00 90.00
Space group Cmmm (No. 65)
One atom of each set of equivalent atoms:
Re: 0.000 0.000 0.228 (multiplicity 4)
Si: 0.000 0.500 0.000 (multiplicity 2)
Se: 0.000 0.500 0.500 (multiplicity 2)

5.
VASP calculation (SCAN) on Re2SiSe at its PBEsol-relaxed geometry.

Results
total magnetic moment	0.000	μB per atom
distance to the lowest polymorph of the same formula	19.27	kJ per mole of atoms

abc: 2.872 4.203 10.136
angles: 90.00 90.00 90.00
Space group Immm (No. 71)
One atom of each set of equivalent atoms:
Re: 0.000 0.000 0.200 (multiplicity 4)
Si: 0.000 0.500 0.500 (multiplicity 2)
Se: 0.000 0.500 0.000 (multiplicity 2)

6.
VASP calculation (SCAN) on Re2SiSe at its PBEsol-relaxed geometry.

Results
total magnetic moment	0.132	μB per atom
distance to the lowest polymorph of the same formula	69.03	kJ per mole of atoms

abc: 5.600 5.600 10.213
angles: 90.00 90.00 90.00
Space group I-42d (No. 122)
One atom of each set of equivalent atoms:
Re: 0.246 0.250 0.125 (multiplicity 8)
Si: 0.000 0.000 0.000 (multiplicity 4)
Se: 0.000 0.000 0.500 (multiplicity 4)

7.
VASP calculation (SCAN) on Re2SiSe at its PBEsol-relaxed geometry.

Results
total magnetic moment	0.000	μB per atom
distance to the lowest polymorph of the same formula	43.69	kJ per mole of atoms

abc: 2.949 4.064 4.963
angles: 90.00 90.00 90.00
Space group Pmmm (No. 47)
One atom of each set of equivalent atoms:
Re: 0.000 0.000 0.000 (multiplicity 1)
Re: 0.500 0.000 0.500 (multiplicity 1)
Si: 0.000 0.500 0.500 (multiplicity 1)
Se: 0.500 0.500 0.000 (multiplicity 1)

8.
VASP calculation (SCAN) on Re2SiSe at its PBEsol-relaxed geometry.

Results
total magnetic moment	0.000	μB per atom
distance to the lowest polymorph of the same formula	0.00	kJ per mole of atoms

abc: 4.293 4.293 3.003
angles: 90.00 90.00 90.00
Space group P4/mmm (No. 123)
One atom of each set of equivalent atoms:
Re: 0.000 0.500 0.000 (multiplicity 2)
Si: 0.000 0.000 0.500 (multiplicity 1)
Se: 0.500 0.500 0.500 (multiplicity 1)

Number 1: formation energy from raw total energies -0.055 eV/atom. Number 2: formation energy from raw total energies -0.404 eV/atom. Number 3: formation energy from raw total energies 0.631 eV/atom. Number 4: formation energy from raw total energies 0.680 eV/atom. Number 5: formation energy from raw total energies 0.529 eV/atom. Number 6: formation energy from raw total energies 1.045 eV/atom. Number 7: formation energy from raw total energies 0.783 eV/atom. Number 8: formation energy from raw total energies 0.330 eV/atom.